Material: Ca2Ni3O8
Method: DFT, PBE+U
State: optimized geometry

## Properties
energy: -5.2302 eV/atom
excess energy over the best structure of this formula in the dataset: 0 meV per atom
density: 4330 kg/m3
SG: C2/m (12)

a b c (Å): 6.1882 6.1882 4.9265
angles (deg): 73.00 73.00 55.87
Last column: nearest neighbours and their distance in Å.
Atoms (fractional coordinates):
O (0.9052, 0.9052, 0.8998)  3 Ni 1.90-1.95
O (0.6020, 0.6020, 0.0350)  2 Ni 1.86
O (0.1228, 0.6786, 0.3882)  2 Ni 1.87-1.88
O (0.3980, 0.3980, 0.9650)  2 Ni 1.86
O (0.3214, 0.8772, 0.6118)  2 Ni 1.87-1.88
O (0.8772, 0.3214, 0.6118)  2 Ni 1.87-1.88
O (0.0948, 0.0948, 0.1002)  3 Ni 1.90-1.95
O (0.6786, 0.1228, 0.3882)  2 Ni 1.87-1.88
Ni (0.2523, 0.7477, 0.0000)  6 O 1.86-1.95
Ni (0.0000, 0.0000, 0.5000)  6 O 1.88-1.90
Ni (0.7477, 0.2523, 0.0000)  6 O 1.86-1.95
Ca (0.2786, 0.2786, 0.6644)  6 O 2.24-2.43
Ca (0.7214, 0.7214, 0.3356)  6 O 2.24-2.43